# TmCd3Ag6

A geometry-optimized TmCd3Ag6 structure (PBE, the Alexandria database).

POSCAR file:
```
TmCd3Ag6
1.0
7.6770 0.0000 0.0000
0.0000 8.0112 -1.7070
0.0000 -3.4516 7.4283
Cd Ag Tm
6 12 2
direct
0.2774 0.4358 0.5642
0.7774 0.5642 0.4358
0.4410 0.4148 0.1559
0.9410 0.1559 0.4148
0.4410 0.8441 0.5852
0.9410 0.5852 0.8441
0.0871 0.3307 0.2177
0.5871 0.6693 0.7823
0.5433 0.2783 0.7217
0.8097 0.9909 0.6293
0.3297 0.9977 0.0023
0.8097 0.3707 0.0091
0.3097 0.0091 0.3707
0.0871 0.7823 0.6693
0.0433 0.7217 0.2783
0.8297 0.0023 0.9977
0.3097 0.6293 0.9909
0.5871 0.2177 0.3307
0.1593 0.2075 0.7925
0.6593 0.7925 0.2075
```

Computed properties:
Energy above the most stable polymorph in this dataset ... 29 meV/atom
D(E_F) ... 0.37 states/eV/atom
Magnetic moment ... 0.0 μB per formula unit
Formation enthalpy at 0 K ... -0.0649 eV/atom